1.
# LiSbRuO6 PBE-GGA optimized geometry
# Raw formation energy = -1140 meV per atom
# Energy = -6.15 eV per atom
# V = 12.27 Å³ per atom
# Size of the total moment = 3.9 μB/cell
data_LiSbRuO6
_chemical_formula_sum 'Li2 Sb2 Ru2 O12'
_symmetry_space_group_name_H-M 'P -3 1 c'
_symmetry_Int_Tables_number 163
_symmetry_space_group_name_Hall '-P 3 2c'
_cell_length_a 5.2341
_cell_length_b 5.2341
_cell_length_c 9.3067
_cell_angle_alpha 90.00
_cell_angle_beta 90.00
_cell_angle_gamma 120.00
loop_
_atom_site_label
_atom_site_type_symbol
_atom_site_fract_x
_atom_site_fract_y
_atom_site_fract_z
Li1 Li 0.0000 0.0000 0.0000
Sb1 Sb 0.3333 0.6667 0.2500
Ru1 Ru 0.3333 0.6667 0.7500
O1 O 0.0109 0.3696 0.6347



2.
# LiSc2RuO PBE-GGA optimized geometry
# Raw formation energy = -1304 meV per atom
# Energy = -7.07 eV per atom
# V = 14.23 Å³ per atom
# Size of the total moment = 0.0 μB/cell
data_LiSc2RuO
_chemical_formula_sum 'Li1 Sc2 Ru1 O1'
_symmetry_space_group_name_H-M 'P 4/m m m'
_symmetry_Int_Tables_number 123
_symmetry_space_group_name_Hall '-P 4 2'
_cell_length_a 4.4301
_cell_length_b 4.4301
_cell_length_c 3.6251
_cell_angle_alpha 90.00
_cell_angle_beta 90.00
_cell_angle_gamma 90.00
loop_
_atom_site_label
_atom_site_type_symbol
_atom_site_fract_x
_atom_site_fract_y
_atom_site_fract_z
Li1 Li 0.0000 0.0000 0.0000
Sc1 Sc 0.0000 0.5000 0.5000
Ru1 Ru 0.5000 0.5000 0.0000
O1 O 0.0000 0.0000 0.5000



3.
# Li2RuSeO6 PBE-GGA optimized geometry
# Raw formation energy = -1056 meV per atom
# Energy = -5.69 eV per atom
# V = 14.66 Å³ per atom
# Size of the total moment = 0.0 μB/cell
data_Li2RuSeO6
_chemical_formula_sum 'Li2 Ru1 Se1 O6'
_symmetry_space_group_name_H-M 'P 4 m m'
_symmetry_Int_Tables_number 99
_cell_length_a 5.3732
_cell_length_b 5.3732
_cell_length_c 5.0789
_cell_angle_alpha 90.00
_cell_angle_beta 90.00
_cell_angle_gamma 90.00
loop_
_symmetry_equiv_pos_as_xyz
'x,y,z'
'-y,x,z'
'-x,-y,z'
'y,-x,z'
'-x,y,z'
'y,x,z'
'x,-y,z'
'-y,-x,z'
loop_
_atom_site_label
_atom_site_type_symbol
_atom_site_fract_x
_atom_site_fract_y
_atom_site_fract_z
Li1 Li 0.0000 0.5000 0.0000
Ru1 Ru 0.0000 0.0000 0.7307
Se1 Se 0.5000 0.5000 0.7662
O1 O 0.0000 0.0000 0.3980
O2 O 0.2378 0.2378 0.8741
O3 O 0.5000 0.5000 0.4438



4.
# Li2Sm2RuO6 PBE-GGA optimized geometry
# Raw formation energy = -2213 meV per atom
# Energy = -6.97 eV per atom
# V = 13.68 Å³ per atom
# Size of the total moment = 4.0 μB/cell
data_Li2Sm2RuO6
_chemical_formula_sum 'Li4 Sm4 Ru2 O12'
_symmetry_space_group_name_H-M 'C 1 2/m 1'
_symmetry_Int_Tables_number 12
_cell_length_a 5.7793
_cell_length_b 10.2978
_cell_length_c 5.1769
_cell_angle_alpha 90.00
_cell_angle_beta 102.35
_cell_angle_gamma 90.00
loop_
_symmetry_equiv_pos_as_xyz
'x,y,z'
'-x,-y,-z'
'-x,y,-z'
'x,-y,z'
'x+1/2,y+1/2,z'
'-x+1/2,-y+1/2,-z'
'-x+1/2,y+1/2,-z'
'x+1/2,-y+1/2,z'
loop_
_atom_site_label
_atom_site_type_symbol
_atom_site_fract_x
_atom_site_fract_y
_atom_site_fract_z
Li1 Li 0.0000 0.1152 0.0000
Sm1 Sm 0.0000 0.3386 0.5000
Ru1 Ru 0.0000 0.0000 0.5000
O1 O 0.1788 0.1527 0.7143
O2 O 0.2447 0.0000 0.2644



5.
# Sr2LiRuO6 PBE-GGA optimized geometry
# Raw formation energy = -1869 meV per atom
# Energy = -6.30 eV per atom
# V = 12.49 Å³ per atom
# Size of the total moment = 1.7 μB/cell
data_Sr2LiRuO6
_chemical_formula_sum 'Sr4 Li2 Ru2 O12'
_symmetry_space_group_name_H-M 'P 1 21/c 1'
_symmetry_Int_Tables_number 14
_cell_length_a 5.6280
_cell_length_b 5.6024
_cell_length_c 9.7077
_cell_angle_alpha 90.00
_cell_angle_beta 125.33
_cell_angle_gamma 90.00
loop_
_symmetry_equiv_pos_as_xyz
'x,y,z'
'-x,-y,-z'
'-x,y+1/2,-z+1/2'
'x,-y+1/2,z+1/2'
loop_
_atom_site_label
_atom_site_type_symbol
_atom_site_fract_x
_atom_site_fract_y
_atom_site_fract_z
Sr1 Sr 0.2482 0.0229 0.2509
Li1 Li 0.5000 0.0000 0.0000
Ru1 Ru 0.0000 0.0000 0.5000
O1 O 0.1851 0.2345 0.9741
O2 O 0.2368 0.7133 0.9739
O3 O 0.2886 0.0053 0.7386



6.
# Sr4LiRu3O12 PBE-GGA optimized geometry
# Raw formation energy = -1813 meV per atom
# Energy = -6.61 eV per atom
# Polymorph energy (0 for the lowest one) = 0.029 eV/atom
# V = 12.46 Å³ per atom
# Size of the total moment = 5.9 μB/cell
data_Sr4LiRu3O12
_chemical_formula_sum 'Sr8 Li2 Ru6 O24'
_symmetry_space_group_name_H-M 'I m -3 m'
_symmetry_Int_Tables_number 229
_symmetry_space_group_name_Hall '-I 4 2 3'
_cell_length_a 7.9276
_cell_length_b 7.9276
_cell_length_c 7.9276
_cell_angle_alpha 90.00
_cell_angle_beta 90.00
_cell_angle_gamma 90.00
loop_
_atom_site_label
_atom_site_type_symbol
_atom_site_fract_x
_atom_site_fract_y
_atom_site_fract_z
Sr1 Sr 0.2500 0.2500 0.2500
Li1 Li 0.0000 0.0000 0.0000
Ru1 Ru 0.0000 0.0000 0.5000
O1 O 0.0000 0.0000 0.2595
O2 O 0.0000 0.2500 0.5000



7.
# SrLiRuO4 PBE-GGA optimized geometry
# Raw formation energy = -1597 meV per atom
# Energy = -6.27 eV per atom
# V = 15.91 Å³ per atom
# Size of the total moment = 1.9 μB/cell
data_SrLiRuO4
_chemical_formula_sum 'Sr2 Li2 Ru2 O8'
_symmetry_space_group_name_H-M 'I -4'
_symmetry_Int_Tables_number 82
_cell_length_a 5.6547
_cell_length_b 5.6547
_cell_length_c 6.9670
_cell_angle_alpha 90.00
_cell_angle_beta 90.00
_cell_angle_gamma 90.00
loop_
_symmetry_equiv_pos_as_xyz
'x,y,z'
'y,-x,-z'
'-x,-y,z'
'-y,x,-z'
'x+1/2,y+1/2,z+1/2'
'y+1/2,-x+1/2,-z+1/2'
'-x+1/2,-y+1/2,z+1/2'
'-y+1/2,x+1/2,-z+1/2'
loop_
_atom_site_label
_atom_site_type_symbol
_atom_site_fract_x
_atom_site_fract_y
_atom_site_fract_z
Sr1 Sr 0.0000 0.0000 0.0000
Li1 Li 0.0000 0.0000 0.5000
Ru1 Ru 0.0000 0.5000 0.2500
O1 O 0.1693 0.7509 0.3480



8.
# Sr2Li3RuO6 PBE-GGA optimized geometry
# Raw formation energy = -1924 meV per atom
# Energy = -5.93 eV per atom
# V = 12.85 Å³ per atom
# Size of the total moment = 6.0 μB/cell
data_Sr2Li3RuO6
_chemical_formula_sum 'Sr4 Li6 Ru2 O12'
_symmetry_space_group_name_H-M 'C 1 2/m 1'
_symmetry_Int_Tables_number 12
_cell_length_a 5.7312
_cell_length_b 10.8457
_cell_length_c 5.2292
_cell_angle_alpha 90.00
_cell_angle_beta 108.37
_cell_angle_gamma 90.00
loop_
_symmetry_equiv_pos_as_xyz
'x,y,z'
'-x,-y,-z'
'-x,y,-z'
'x,-y,z'
'x+1/2,y+1/2,z'
'-x+1/2,-y+1/2,-z'
'-x+1/2,y+1/2,-z'
'x+1/2,-y+1/2,z'
loop_
_atom_site_label
_atom_site_type_symbol
_atom_site_fract_x
_atom_site_fract_y
_atom_site_fract_z
Sr1 Sr 0.0000 0.1715 0.0000
Li1 Li 0.0000 0.0000 0.5000
Li2 Li 0.0000 0.3921 0.5000
Ru1 Ru 0.0000 0.5000 0.0000
O1 O 0.2017 0.3688 0.2444
O2 O 0.2268 0.5000 0.7724



9.
# SrLi2Ru2O7 PBE-GGA optimized geometry
# Raw formation energy = -1520 meV per atom
# Energy = -6.42 eV per atom
# V = 11.42 Å³ per atom
# Size of the total moment = 6.0 μB/cell
data_SrLi2Ru2O7
_chemical_formula_sum 'Sr2 Li4 Ru4 O14'
_symmetry_space_group_name_H-M 'I 4 m m'
_symmetry_Int_Tables_number 107
_symmetry_space_group_name_Hall 'I 4 -2'
_cell_length_a 3.8904
_cell_length_b 3.8904
_cell_length_c 18.1089
_cell_angle_alpha 90.00
_cell_angle_beta 90.00
_cell_angle_gamma 90.00
loop_
_atom_site_label
_atom_site_type_symbol
_atom_site_fract_x
_atom_site_fract_y
_atom_site_fract_z
Sr1 Sr 0.0000 0.0000 0.0000
Li1 Li 0.0000 0.5000 0.2495
Ru1 Ru 0.0000 0.0000 0.3871
Ru2 Ru 0.0000 0.0000 0.6154
O1 O 0.0000 0.0000 0.2833
O2 O 0.0000 0.0000 0.5009
O3 O 0.0000 0.0000 0.7208
O4 O 0.0000 0.5000 0.1098
O5 O 0.0000 0.5000 0.3958



Question: V of number 6 (Sr4LiRu3O12)?
Answer: 12.46 Å³ per atom



Question: Which value of size of the total moment does entry 7 give?
Answer: 1.9 μB/cell



Question: raw formation energy of number 4 (Li2Sm2RuO6)?
Answer: -2213 meV per atom